Compound: TiPSe
Source: Alexandria via LeMat-Bulk
Functional: PBE-GGA
Structure: relaxed

```
data_TiPSe
_space_group_name_H-M_alt 'C 1 2/m 1'
_space_group_IT_number 12
_cell_length_a 6.183
_cell_length_b 3.575
_cell_length_c 10.818
_cell_angle_alpha 90.00
_cell_angle_beta 100.58
_cell_angle_gamma 90.00
loop_
_space_group_symop_operation_xyz
'x,y,z'
'-x,-y,-z'
'-x,y,-z'
'x,-y,z'
'x+1/2,y+1/2,z'
'-x+1/2,-y+1/2,-z'
'-x+1/2,y+1/2,-z'
'x+1/2,-y+1/2,z'
loop_
_atom_site_label
_atom_site_type_symbol
_atom_site_fract_x
_atom_site_fract_y
_atom_site_fract_z
Ti1 Ti 0.228 0.000 0.191
P1 P 0.151 0.000 0.949
Se1 Se 0.108 0.500 0.336
```

Computed properties:
Total DFT energy (no corrections)   -6.35 eV/atom
Fermi-level density of states   4.7 states/eV/cell

***

Compound: TiPSe4
Source: Alexandria via LeMat-Bulk
Functional: PBE-GGA
Structure: relaxed

```
data_TiPSe4
_space_group_name_H-M_alt 'P 2 2 2'
_space_group_IT_number 16
_cell_length_a 6.198
_cell_length_b 6.225
_cell_length_c 11.320
_cell_angle_alpha 90.00
_cell_angle_beta 90.00
_cell_angle_gamma 90.00
loop_
_space_group_symop_operation_xyz
'x,y,z'
'-x,-y,z'
'x,-y,-z'
'-x,y,-z'
loop_
_atom_site_label
_atom_site_type_symbol
_atom_site_fract_x
_atom_site_fract_y
_atom_site_fract_z
Ti1 Ti 0.000 0.000 0.000
Ti2 Ti 0.000 0.500 0.500
P1 P 0.000 0.000 0.500
P2 P 0.500 0.000 0.000
Se1 Se 0.203 0.235 0.389
Se2 Se 0.267 0.201 0.888
```

Computed properties:
Total DFT energy (no corrections)   -4.98 eV/atom
Fermi-level density of states   6.5 states/eV/cell

***

Compound: Ti3PSe
Source: Alexandria via LeMat-Bulk
Functional: PBE-GGA
Structure: relaxed

```
data_Ti3PSe
_space_group_name_H-M_alt 'P m -3 m'
_space_group_IT_number 221
_space_group_name_Hall '-P 4 2 3'
_cell_length_a 4.606
_cell_length_b 4.606
_cell_length_c 4.606
_cell_angle_alpha 90.00
_cell_angle_beta 90.00
_cell_angle_gamma 90.00
loop_
_atom_site_label
_atom_site_type_symbol
_atom_site_fract_x
_atom_site_fract_y
_atom_site_fract_z
Ti1 Ti 0.000 0.000 0.500
P1 P 0.000 0.000 0.000
Se1 Se 0.500 0.500 0.500
```

Computed properties:
Total DFT energy (no corrections)   -6.69 eV/atom
Fermi-level density of states   6.9 states/eV/cell

***

Compound: TiPSe4
Source: Alexandria via LeMat-Bulk
Functional: PBE-GGA
Structure: relaxed

```
data_TiPSe4
_space_group_name_H-M_alt 'I -4'
_space_group_IT_number 82
_cell_length_a 6.082
_cell_length_b 6.082
_cell_length_c 9.486
_cell_angle_alpha 90.00
_cell_angle_beta 90.00
_cell_angle_gamma 90.00
loop_
_space_group_symop_operation_xyz
'x,y,z'
'y,-x,-z'
'-x,-y,z'
'-y,x,-z'
'x+1/2,y+1/2,z+1/2'
'y+1/2,-x+1/2,-z+1/2'
'-x+1/2,-y+1/2,z+1/2'
'-y+1/2,x+1/2,-z+1/2'
loop_
_atom_site_label
_atom_site_type_symbol
_atom_site_fract_x
_atom_site_fract_y
_atom_site_fract_z
Ti1 Ti 0.000 0.000 0.000
P1 P 0.000 0.500 0.250
Se1 Se 0.225 0.726 0.119
```

Computed properties:
Total DFT energy (no corrections)   -4.93 eV/atom
Fermi-level density of states   5.1 states/eV/cell

***

Compound: TiP2Se6
Source: Alexandria via LeMat-Bulk
Functional: PBE-GGA
Structure: relaxed

```
data_TiP2Se6
_space_group_name_H-M_alt 'C 1 2/c 1'
_space_group_IT_number 15
_cell_length_a 15.818
_cell_length_b 9.450
_cell_length_c 6.463
_cell_angle_alpha 90.00
_cell_angle_beta 98.16
_cell_angle_gamma 90.00
loop_
_space_group_symop_operation_xyz
'x,y,z'
'-x,-y,-z'
'-x,y,-z+1/2'
'x,-y,z+1/2'
'x+1/2,y+1/2,z'
'-x+1/2,-y+1/2,-z'
'-x+1/2,y+1/2,-z+1/2'
'x+1/2,-y+1/2,z+1/2'
loop_
_atom_site_label
_atom_site_type_symbol
_atom_site_fract_x
_atom_site_fract_y
_atom_site_fract_z
Ti1 Ti 0.000 0.086 0.250
P1 P 0.194 0.406 0.257
Se1 Se 0.057 0.153 0.634
Se2 Se 0.109 0.461 0.946
Se3 Se 0.154 0.168 0.254
```

Computed properties:
Total DFT energy (no corrections)   -4.71 eV/atom

***

Compound: TiPSe2
Source: Alexandria via LeMat-Bulk
Functional: PBE-GGA
Structure: relaxed

```
data_TiPSe2
_space_group_name_H-M_alt 'I -4 2 d'
_space_group_IT_number 122
_space_group_name_Hall 'I -4 2bw'
_cell_length_a 5.437
_cell_length_b 5.437
_cell_length_c 13.443
_cell_angle_alpha 90.00
_cell_angle_beta 90.00
_cell_angle_gamma 90.00
loop_
_atom_site_label
_atom_site_type_symbol
_atom_site_fract_x
_atom_site_fract_y
_atom_site_fract_z
Ti1 Ti 0.000 0.000 0.000
P1 P 0.000 0.000 0.500
Se1 Se 0.250 0.250 0.125
```

Computed properties:
Total DFT energy (no corrections)   -5.04 eV/atom
Fermi-level density of states   12.9 states/eV/cell

***

Compound: Ti3PSe3
Source: Alexandria via LeMat-Bulk
Functional: PBE-GGA
Structure: relaxed

```
data_Ti3PSe3
_space_group_name_H-M_alt 'I 41 3 2'
_space_group_IT_number 214
_space_group_name_Hall 'I 4bd 2c 3'
_cell_length_a 10.182
_cell_length_b 10.182
_cell_length_c 10.182
_cell_angle_alpha 90.00
_cell_angle_beta 90.00
_cell_angle_gamma 90.00
loop_
_atom_site_label
_atom_site_type_symbol
_atom_site_fract_x
_atom_site_fract_y
_atom_site_fract_z
Ti1 Ti 0.113 0.363 0.125
P1 P 0.125 0.125 0.125
Se1 Se 0.122 0.128 0.625
```

Computed properties:
Total DFT energy (no corrections)   -6.81 eV/atom
Fermi-level density of states   21.6 states/eV/cell

***

Compound: Ti2P2Se
Source: Alexandria via LeMat-Bulk
Functional: PBE-GGA
Structure: relaxed

```
data_Ti2P2Se
_space_group_name_H-M_alt 'P 4/m b m'
_space_group_IT_number 127
_space_group_name_Hall '-P 4 2ab'
_cell_length_a 6.915
_cell_length_b 6.915
_cell_length_c 3.301
_cell_angle_alpha 90.00
_cell_angle_beta 90.00
_cell_angle_gamma 90.00
loop_
_atom_site_label
_atom_site_type_symbol
_atom_site_fract_x
_atom_site_fract_y
_atom_site_fract_z
Ti1 Ti 0.158 0.342 0.000
P1 P 0.128 0.628 0.500
Se1 Se 0.000 0.000 0.000
```

Computed properties:
Total DFT energy (no corrections)   -6.86 eV/atom
Fermi-level density of states   4.9 states/eV/cell

***

Compound: TiPSe3
Source: Alexandria via LeMat-Bulk
Functional: PBE-GGA
Structure: relaxed

```
data_TiPSe3
_space_group_name_H-M_alt 'P m -3 m'
_space_group_IT_number 221
_space_group_name_Hall '-P 4 2 3'
_cell_length_a 4.768
_cell_length_b 4.768
_cell_length_c 4.768
_cell_angle_alpha 90.00
_cell_angle_beta 90.00
_cell_angle_gamma 90.00
loop_
_atom_site_label
_atom_site_type_symbol
_atom_site_fract_x
_atom_site_fract_y
_atom_site_fract_z
Ti1 Ti 0.000 0.000 0.000
P1 P 0.500 0.500 0.500
Se1 Se 0.000 0.500 0.500
```

Computed properties:
Total DFT energy (no corrections)   -4.38 eV/atom
Fermi-level density of states   10.2 states/eV/cell

***

Compound: TiTlP2Se
Source: Alexandria via LeMat-Bulk
Functional: PBE-GGA
Structure: relaxed

```
data_TiTlP2Se
_space_group_name_H-M_alt 'P 4/m m m'
_space_group_IT_number 123
_space_group_name_Hall '-P 4 2'
_cell_length_a 4.991
_cell_length_b 4.991
_cell_length_c 4.728
_cell_angle_alpha 90.00
_cell_angle_beta 90.00
_cell_angle_gamma 90.00
loop_
_atom_site_label
_atom_site_type_symbol
_atom_site_fract_x
_atom_site_fract_y
_atom_site_fract_z
Ti1 Ti 0.000 0.000 0.000
Tl1 Tl 0.500 0.500 0.000
P1 P 0.000 0.500 0.500
Se1 Se 0.000 0.000 0.500
```

Computed properties:
Total DFT energy (no corrections)   -4.25 eV/atom
Fermi-level density of states   7.5 states/eV/cell

***

Compound: Tl2PSe
Source: Alexandria via LeMat-Bulk
Functional: PBE-GGA
Structure: relaxed

```
data_Tl2PSe
_space_group_name_H-M_alt 'C m m m'
_space_group_IT_number 65
_space_group_name_Hall '-C 2 2'
_cell_length_a 6.577
_cell_length_b 7.974
_cell_length_c 3.782
_cell_angle_alpha 90.00
_cell_angle_beta 90.00
_cell_angle_gamma 90.00
loop_
_atom_site_label
_atom_site_type_symbol
_atom_site_fract_x
_atom_site_fract_y
_atom_site_fract_z
Tl1 Tl 0.250 0.250 0.000
P1 P 0.000 0.000 0.500
Se1 Se 0.000 0.500 0.500
```

Computed properties:
Total DFT energy (no corrections)   -3.13 eV/atom
Fermi-level density of states   3.9 states/eV/cell

***

Compound: TlPSe2
Source: Alexandria via LeMat-Bulk
Functional: PBE-GGA
Structure: relaxed

```
data_TlPSe2
_space_group_name_H-M_alt 'C 1 2/m 1'
_space_group_IT_number 12
_cell_length_a 5.713
_cell_length_b 11.711
_cell_length_c 2.783
_cell_angle_alpha 90.00
_cell_angle_beta 99.94
_cell_angle_gamma 90.00
loop_
_space_group_symop_operation_xyz
'x,y,z'
'-x,-y,-z'
'-x,y,-z'
'x,-y,z'
'x+1/2,y+1/2,z'
'-x+1/2,-y+1/2,-z'
'-x+1/2,y+1/2,-z'
'x+1/2,-y+1/2,z'
loop_
_atom_site_label
_atom_site_type_symbol
_atom_site_fract_x
_atom_site_fract_y
_atom_site_fract_z
Tl1 Tl 0.000 0.000 0.000
P1 P 0.000 0.500 0.000
Se1 Se 0.250 0.250 0.500
```

Computed properties:
Total DFT energy (no corrections)   -3.16 eV/atom
Fermi-level density of states   5.1 states/eV/cell

***

The evaluated energy relative to the elements, uncorrected for the records listed, in turn: -0.75 -0.43 -0.17 -0.39 -0.30 0.03 -1.16 -0.84 0.37 0.67 0.27 0.53 eV per atom.